# 1
## GaSn3 (PBE)

Data for a relaxed structure of GaSn3.

Output
- total magnetic moment (μB/f.u.) = 0.00
- calculated volume (Å³/cell) = 205.6
- space-group type = Cmcm (63)
- formation energy from the elements (eV per atom) = 0.05

Lattice parameters (Å, degrees): 6.8299 6.8299 4.4078 90.00 90.00 90.13
Closest atoms and distances in Å follow each position.
Sites, in units of the cell vectors:
Ga1 0.1182 0.8818 0.7500  2 Ga 3.18, 10 Sn 3.19-3.54
Ga2 0.8818 0.1182 0.2500  2 Ga 3.18, 10 Sn 3.19-3.54
Sn1 0.1161 0.3630 0.7500  4 Ga 3.19-3.54, 8 Sn 3.25-3.53
Sn2 0.3630 0.1161 0.2500  4 Ga 3.19-3.54, 8 Sn 3.25-3.53
Sn3 0.3669 0.6331 0.2500  2 Ga 3.26, 10 Sn 3.30-3.53
Sn4 0.6331 0.3669 0.7500  2 Ga 3.26, 10 Sn 3.30-3.53
Sn5 0.6370 0.8839 0.7500  4 Ga 3.19-3.54, 8 Sn 3.25-3.53
Sn6 0.8839 0.6370 0.2500  4 Ga 3.19-3.54, 8 Sn 3.25-3.53

***

# 2
## Pm3Sb2Rh (PBE)

Data for a relaxed structure of Pm3Sb2Rh.

Output
- total magnetic moment (μB/f.u.) = 0.00
- calculated volume (Å³/cell) = 664.6
- space-group type = Pnma (62)
- E_form (uncorrected) (eV/atom) = -1.01

Lattice parameters (Å, degrees): 12.2118 4.4885 12.1245 90.00 90.00 90.00
Closest atoms and distances in Å follow each position.
Sites, in units of the cell vectors:
Pm1 0.0532 0.2500 0.1292  1 Rh 3.03, 5 Sb 3.17-3.35
Pm2 0.1171 0.7500 0.5541  3 Rh 3.11-3.18, 5 Sb 3.18-3.33
Pm3 0.2298 0.2500 0.8009  2 Rh 2.97, 2 Sb 3.18-3.21
Pm4 0.2702 0.7500 0.3009  2 Rh 2.97, 2 Sb 3.18-3.21
Pm5 0.3829 0.2500 0.0541  3 Rh 3.11-3.18, 5 Sb 3.18-3.33
Pm6 0.4468 0.7500 0.6292  1 Rh 3.03, 5 Sb 3.17-3.35
Pm7 0.5532 0.2500 0.3708  1 Rh 3.03, 5 Sb 3.17-3.35
Pm8 0.6171 0.7500 0.9459  3 Rh 3.11-3.18, 5 Sb 3.18-3.33
Pm9 0.7298 0.2500 0.6991  2 Rh 2.97, 2 Sb 3.18-3.21
Pm10 0.7702 0.7500 0.1991  2 Rh 2.97, 2 Sb 3.18-3.21
Pm11 0.8829 0.2500 0.4459  3 Rh 3.11-3.18, 5 Sb 3.18-3.33
Pm12 0.9468 0.7500 0.8708  1 Rh 3.03, 5 Sb 3.17-3.35
Sb1 0.0074 0.7500 0.3081  2 Rh 2.77
Sb2 0.1891 0.7500 0.9997  1 Rh 2.77
Sb3 0.3109 0.2500 0.4997  1 Rh 2.77
Sb4 0.4926 0.2500 0.8081  2 Rh 2.77
Sb5 0.5074 0.7500 0.1919  2 Rh 2.77
Sb6 0.6891 0.7500 0.5003  1 Rh 2.77
Sb7 0.8109 0.2500 0.0003  1 Rh 2.77
Sb8 0.9926 0.2500 0.6919  2 Rh 2.77
Rh1 0.1257 0.2500 0.3681  3 Sb 2.77, 3 Pm 2.97-3.03
Rh2 0.3743 0.7500 0.8681  3 Sb 2.77, 3 Pm 2.97-3.03
Rh3 0.6257 0.2500 0.1319  3 Sb 2.77, 3 Pm 2.97-3.03
Rh4 0.8743 0.7500 0.6319  3 Sb 2.77, 3 Pm 2.97-3.03

***

# 3
## La5NiCl5 (PBE)

Data for a relaxed structure of La5NiCl5.

Output
- total magnetic moment (μB/f.u.) = 0.00
- calculated volume (Å³/cell) = 301.8
- space-group type = C2/m (12)
- E_form (uncorrected) (eV/atom) = -1.52

Lattice parameters (Å, degrees): 7.0837 7.0837 8.4972 108.24 108.24 48.93
Closest atoms and distances in Å follow each position.
Sites, in units of the cell vectors:
La1 0.0000 0.0000 0.0000  2 Ni 2.93, 4 Cl 2.99-3.03
La2 0.3257 0.3257 0.1518  1 Ni 2.95, 5 Cl 2.96-3.16
La3 0.3478 0.3478 0.6988  1 Ni 2.64, 1 Cl 2.94
La4 0.6522 0.6522 0.3012  1 Ni 2.64, 1 Cl 2.94
La5 0.6743 0.6743 0.8482  1 Ni 2.95, 5 Cl 2.96-3.16
Ni1 0.5000 0.5000 0.0000  6 La 2.64-2.95
Cl1 0.1535 0.1535 0.8051  5 La 2.94-3.02
Cl2 0.1626 0.1626 0.3563  5 La 2.97-3.16
Cl3 0.5000 0.5000 0.5000  4 La 3.00-3.04
Cl4 0.8374 0.8374 0.6437  5 La 2.97-3.16
Cl5 0.8465 0.8465 0.1949  5 La 2.94-3.02

***

# 4
## Li2GdEr (PBE)

Data for a relaxed structure of Li2GdEr.

Output
- total magnetic moment (μB/f.u.) = 7.72
- E above lowest polymorph (eV/f.u.) = 0.000
- calculated volume (Å³/cell) = 101.3
- space-group type = P4/mmm (123)
- formation energy from the elements (eV per atom) = 0.14

Lattice parameters (Å, degrees): 5.2315 5.2315 3.7020 90.00 90.00 90.00
Closest atoms and distances in Å follow each position.
Sites, in units of the cell vectors:
Li1 0.0000 0.5000 0.0000  4 Gd 3.20, 4 Er 3.20
Li2 0.5000 0.0000 0.0000  4 Gd 3.20, 4 Er 3.20
Gd1 0.0000 0.0000 0.5000  8 Li 3.20
Er1 0.5000 0.5000 0.5000  8 Li 3.20

***

# 5
## Mg2Cu2Au3 (PBE)

Data for a relaxed structure of Mg2Cu2Au3.

Output
- total magnetic moment (μB/f.u.) = 0.00
- calculated volume (Å³/cell) = 115.9
- space-group type = Cmmm (65)
- formation energy from the elements (eV per atom) = -0.30

Lattice parameters (Å, degrees): 10.0914 10.0914 3.0232 90.00 90.00 157.88
Closest atoms and distances in Å follow each position.
Sites, in units of the cell vectors:
Mg1 0.0786 0.9214 0.0000  1 Cu 2.69, 8 Au 2.91-2.92
Mg2 0.9214 0.0786 0.0000  1 Cu 2.69, 8 Au 2.91-2.92
Cu1 0.2143 0.7857 0.0000  2 Cu 2.40
Cu2 0.7857 0.2143 0.0000  2 Cu 2.40
Au1 0.3412 0.6588 0.5000  6 Cu 2.69-2.93, 4 Mg 2.92
Au2 0.5000 0.5000 0.5000  8 Mg 2.91, 4 Au 3.02-3.15
Au3 0.6588 0.3412 0.5000  6 Cu 2.69-2.93, 4 Mg 2.92

***

# 6
## Sr3I2N (PBE)

Data for a relaxed structure of Sr3I2N.

Output
- total magnetic moment (μB/f.u.) = 0.11
- E above lowest polymorph (eV/f.u.) = 0.238
- calculated volume (Å³/cell) = 374.9
- space-group type = C2/m (12)
- E_form (uncorrected) (eV/atom) = -1.03

Lattice parameters (Å, degrees): 7.3761 7.3761 8.3423 98.60 98.60 120.05
Closest atoms and distances in Å follow each position.
Sites, in units of the cell vectors:
Sr1 0.0485 0.4354 0.8154  2 N 2.70-2.71
Sr2 0.1737 0.1737 0.1811  2 N 2.72
Sr3 0.4354 0.0485 0.8154  2 N 2.70-2.71
Sr4 0.5646 0.9515 0.1846  2 N 2.70-2.71
Sr5 0.8263 0.8263 0.8189  2 N 2.72
Sr6 0.9515 0.5646 0.1846  2 N 2.70-2.71
I1 0.0000 0.0000 0.5000  6 Sr 3.28-3.66
I2 0.3443 0.6557 0.5000  6 Sr 3.32-3.71
I3 0.5000 0.5000 0.0000  6 Sr 3.20-3.22
I4 0.6557 0.3443 0.5000  6 Sr 3.32-3.71
N1 0.1680 0.8320 0.0000  6 Sr 2.70-2.72
N2 0.8320 0.1680 0.0000  6 Sr 2.70-2.72

***

# 7
## Sc5Ni2Hg4 (PBE)

Data for a relaxed structure of Sc5Ni2Hg4.

Output
- total magnetic moment (μB/f.u.) = 0.00
- calculated volume (Å³/cell) = 431.4
- space-group type = Pbam (55)
- formation energy from the elements (eV per atom) = -0.47

Lattice parameters (Å, degrees): 7.5314 17.2335 3.3241 90.00 90.00 90.00
Closest atoms and distances in Å follow each position.
Sites, in units of the cell vectors:
Sc1 0.0000 0.0000 0.0000  8 Hg 3.01-3.14, 4 Sc 3.25-3.32
Sc2 0.1188 0.4118 0.0000  2 Ni 2.57
Sc3 0.2488 0.7184 0.0000  4 Ni 2.74-2.75
Sc4 0.2512 0.2184 0.0000  4 Ni 2.74-2.75
Sc5 0.3812 0.9118 0.0000  2 Ni 2.57
Sc6 0.5000 0.5000 0.0000  8 Hg 3.01-3.14, 4 Sc 3.25-3.32
Sc7 0.6188 0.0882 0.0000  2 Ni 2.57
Sc8 0.7488 0.7816 0.0000  4 Ni 2.74-2.75
Sc9 0.7512 0.2816 0.0000  4 Ni 2.74-2.75
Sc10 0.8812 0.5882 0.0000  2 Ni 2.57
Ni1 0.0365 0.3042 0.5000  6 Sc 2.57-2.75, 2 Hg 2.77-2.87
Ni2 0.4635 0.8042 0.5000  6 Sc 2.57-2.75, 2 Hg 2.77-2.87
Ni3 0.5365 0.1958 0.5000  6 Sc 2.57-2.75, 2 Hg 2.77-2.87
Ni4 0.9635 0.6958 0.5000  6 Sc 2.57-2.75, 2 Hg 2.77-2.87
Hg1 0.0748 0.8490 0.5000  2 Ni 2.77-3.03, 4 Sc 3.04-3.09
Hg2 0.2042 0.5664 0.5000  1 Ni 2.87, 8 Sc 2.97-3.21, 1 Hg 3.15
Hg3 0.2958 0.0664 0.5000  1 Ni 2.87, 8 Sc 2.97-3.21, 1 Hg 3.15
Hg4 0.4252 0.3490 0.5000  2 Ni 2.77-3.03, 4 Sc 3.04-3.09
Hg5 0.5748 0.6510 0.5000  2 Ni 2.77-3.03, 4 Sc 3.04-3.09
Hg6 0.7042 0.9336 0.5000  1 Ni 2.87, 8 Sc 2.97-3.21, 1 Hg 3.15
Hg7 0.7958 0.4336 0.5000  1 Ni 2.87, 8 Sc 2.97-3.21, 1 Hg 3.15
Hg8 0.9252 0.1510 0.5000  2 Ni 2.77-3.03, 4 Sc 3.04-3.09

***

# 8
## LiPrU2S5 (PBE)

Data for a relaxed structure of LiPrU2S5.

Output
- total magnetic moment (μB/f.u.) = 0.00
- calculated volume (Å³/cell) = 383.5
- space-group type = P4/mbm (127)
- E_form (uncorrected) (eV/atom) = -1.21

Lattice parameters (Å, degrees): 7.0537 7.0537 7.7075 90.00 90.00 90.00
Closest atoms and distances in Å follow each position.
Sites, in units of the cell vectors:
Li1 0.0000 0.0000 0.0000  8 S 3.15, 4 Pr 3.53
Li2 0.5000 0.5000 0.0000  8 S 3.15, 4 Pr 3.53
Pr1 0.0000 0.5000 0.0000  4 S 2.70
Pr2 0.5000 0.0000 0.0000  4 S 2.70
U1 0.1231 0.3769 0.5000  1 U 2.46, 2 S 2.69
U2 0.3769 0.8769 0.5000  1 U 2.46, 2 S 2.69
U3 0.6231 0.1231 0.5000  1 U 2.46, 2 S 2.69
U4 0.8769 0.6231 0.5000  1 U 2.46, 2 S 2.69
S1 0.0000 0.0000 0.5000  4 U 2.80
S2 0.1963 0.6963 0.2405  1 U 2.69, 1 Pr 2.70
S3 0.1963 0.6963 0.7595  1 U 2.69, 1 Pr 2.70
S4 0.3037 0.1963 0.2405  1 U 2.69, 1 Pr 2.70
S5 0.3037 0.1963 0.7595  1 U 2.69, 1 Pr 2.70
S6 0.5000 0.5000 0.5000  4 U 2.80
S7 0.6963 0.8037 0.2405  1 U 2.69, 1 Pr 2.70
S8 0.6963 0.8037 0.7595  1 U 2.69, 1 Pr 2.70
S9 0.8037 0.3037 0.2405  1 U 2.69, 1 Pr 2.70
S10 0.8037 0.3037 0.7595  1 U 2.69, 1 Pr 2.70

***

# 9
## Li4CuSn3S8 (PBE)

Data for a relaxed structure of Li4CuSn3S8.

Output
- total magnetic moment (μB/f.u.) = 0.00
- calculated volume (Å³/cell) = 296.9
- space-group type = C2/m (12)
- E_form (uncorrected) (eV/atom) = -0.68

Lattice parameters (Å, degrees): 7.4663 7.4663 7.5176 119.60 119.60 59.46
Closest atoms and distances in Å follow each position.
Sites, in units of the cell vectors:
Li1 0.0000 0.0000 0.0000  6 S 2.65-2.66
Li2 0.0000 0.5000 0.0000  6 S 2.61-2.70
Li3 0.5000 0.0000 0.0000  6 S 2.61-2.70
Li4 0.5000 0.5000 0.0000  6 S 2.57-2.77
Cu1 0.0000 0.0000 0.5000  6 S 2.50-2.76
Sn1 0.0000 0.5000 0.5000  6 S 2.61-2.67
Sn2 0.5000 0.0000 0.5000  6 S 2.61-2.67
Sn3 0.5000 0.5000 0.5000  6 S 2.62-2.69
S1 0.2367 0.7584 0.7327  1 Cu 2.50, 2 Sn 2.62-2.64, 3 Li 2.66-2.77
S2 0.2416 0.7633 0.2673  1 Cu 2.50, 2 Sn 2.62-2.64, 3 Li 2.66-2.77
S3 0.2482 0.2482 0.2428  3 Li 2.61-2.65, 3 Sn 2.67-2.69
S4 0.2587 0.2587 0.7537  3 Li 2.57-2.67, 2 Sn 2.61, 1 Cu 2.76
S5 0.7413 0.7413 0.2463  3 Li 2.57-2.67, 2 Sn 2.61, 1 Cu 2.76
S6 0.7518 0.7518 0.7572  3 Li 2.61-2.65, 3 Sn 2.67-2.69
S7 0.7584 0.2367 0.7327  1 Cu 2.50, 2 Sn 2.62-2.64, 3 Li 2.66-2.77
S8 0.7633 0.2416 0.2673  1 Cu 2.50, 2 Sn 2.62-2.64, 3 Li 2.66-2.77

***

# 10
## Nd3Sm2YSe6 (PBE)

Data for a relaxed structure of Nd3Sm2YSe6.

Output
- total magnetic moment (μB/f.u.) = 0.00
- calculated volume (Å³/cell) = 311.4
- space-group type = C2/m (12)
- E_form (uncorrected) (eV/atom) = -1.82

Lattice parameters (Å, degrees): 7.2468 7.2468 7.2790 99.52 99.52 120.26
Closest atoms and distances in Å follow each position.
Sites, in units of the cell vectors:
Nd1 0.0000 0.0000 0.0000  6 Se 2.98-3.01
Nd2 0.3300 0.6700 0.0000  6 Se 2.98-3.00
Nd3 0.6700 0.3300 0.0000  6 Se 2.98-3.00
Sm1 0.1669 0.8331 0.5000  6 Se 2.94-2.96
Sm2 0.8331 0.1669 0.5000  6 Se 2.94-2.96
Y1 0.5000 0.5000 0.5000  6 Se 2.90
Se1 0.0916 0.4197 0.2587  1 Y 2.90, 2 Sm 2.94, 3 Nd 2.98-3.00
Se2 0.2532 0.2532 0.7440  1 Y 2.90, 2 Sm 2.96, 3 Nd 3.00-3.01
Se3 0.4197 0.0916 0.2587  1 Y 2.90, 2 Sm 2.94, 3 Nd 2.98-3.00
Se4 0.5803 0.9084 0.7413  1 Y 2.90, 2 Sm 2.94, 3 Nd 2.98-3.00
Se5 0.7468 0.7468 0.2560  1 Y 2.90, 2 Sm 2.96, 3 Nd 3.00-3.01
Se6 0.9084 0.5803 0.7413  1 Y 2.90, 2 Sm 2.94, 3 Nd 2.98-3.00

***

# 11
## Rb4HoPa3O12 (PBE)

Data for a relaxed structure of Rb4HoPa3O12.

Output
- total magnetic moment (μB/f.u.) = 0.76
- calculated volume (Å³/cell) = 344.2
- space-group type = Im-3m (229)
- E_form (uncorrected) (eV/atom) = -2.84

Lattice parameters (Å, degrees): 7.6470 7.6470 7.6470 109.47 109.47 109.47
Closest atoms and distances in Å follow each position.
Sites, in units of the cell vectors:
Rb1 0.0000 0.0000 0.5000  12 O 3.12
Rb2 0.0000 0.5000 0.0000  12 O 3.12
Rb3 0.5000 0.0000 0.0000  12 O 3.12
Rb4 0.5000 0.5000 0.5000  12 O 3.12
Ho1 0.0000 0.0000 0.0000  6 O 2.30
Pa1 0.0000 0.5000 0.5000  6 O 2.11-2.21
Pa2 0.5000 0.0000 0.5000  6 O 2.11-2.21
Pa3 0.5000 0.5000 0.0000  6 O 2.11-2.21
O1 0.0000 0.2606 0.2606  1 Pa 2.11, 1 Ho 2.30
O2 0.0000 0.7394 0.7394  1 Pa 2.11, 1 Ho 2.30
O3 0.2500 0.5000 0.7500  2 Pa 2.21
O4 0.2500 0.7500 0.5000  2 Pa 2.21
O5 0.2606 0.0000 0.2606  1 Pa 2.11, 1 Ho 2.30
O6 0.2606 0.2606 0.0000  1 Pa 2.11, 1 Ho 2.30
O7 0.5000 0.2500 0.7500  2 Pa 2.21
O8 0.5000 0.7500 0.2500  2 Pa 2.21
O9 0.7394 0.0000 0.7394  1 Pa 2.11, 1 Ho 2.30
O10 0.7394 0.7394 0.0000  1 Pa 2.11, 1 Ho 2.30
O11 0.7500 0.2500 0.5000  2 Pa 2.21
O12 0.7500 0.5000 0.2500  2 Pa 2.21

***

# 12
## SrI (PBE)

Data for a relaxed structure of SrI.

Output
- total magnetic moment (μB/f.u.) = 0.45
- calculated volume (Å³/cell) = 403.4
- space-group type = I4/m (87)
- E_form (uncorrected) (eV/atom) = -1.13

Lattice parameters (Å, degrees): 9.6396 9.6396 9.6396 93.27 93.27 152.37
Closest atoms and distances in Å follow each position.
Sites, in units of the cell vectors:
Sr1 0.1035 0.3470 0.4505  4 I 3.39-3.44
Sr2 0.3470 0.8965 0.2435  4 I 3.39-3.44
Sr3 0.6530 0.1035 0.7565  4 I 3.39-3.44
Sr4 0.8965 0.6530 0.5495  4 I 3.39-3.44
I1 0.1121 0.7918 0.9039  4 Sr 3.39-3.44
I2 0.2082 0.1121 0.3204  4 Sr 3.39-3.44
I3 0.7918 0.8879 0.6796  4 Sr 3.39-3.44
I4 0.8879 0.2082 0.0961  4 Sr 3.39-3.44